[1]
A plane-wave DFT calculation with PBE was carried out for crystalline K2InCu at its relaxed geometry.

Cell lengths 6.466, 6.466, 6.466 Å; angles 135.60, 134.62, 65.36 degrees
Atoms (fractional coordinates):
K1 0.247 0.247 0.000
K2 0.753 0.753 0.000
In1 0.500 0.000 0.500
Cu1 0.000 0.500 0.500

Output
The space-group type is No. 71. The energy relative to the elements is 0.3390 eV/atom. As for the uncorrected energy: -1.918 eV/atom. Its total magnetization is 0.56 μB/cell.

***

[2]
A plane-wave DFT calculation with PBE was carried out for crystalline KIn6Cu at its relaxed geometry.

Cell lengths 4.901, 4.901, 9.278 Å; angles 90.00, 90.00, 90.00 degrees
Atoms (fractional coordinates):
K1 0.000 0.000 0.000
In1 0.000 0.500 0.339
In2 0.000 0.500 0.661
In3 0.500 0.000 0.339
In4 0.500 0.000 0.661
In5 0.500 0.500 0.155
In6 0.500 0.500 0.845
Cu1 0.000 0.000 0.500

Output
The space-group type is No. 123. The energy relative to the elements is -0.0524 eV/atom. As for the uncorrected energy: -2.755 eV/atom. Its total magnetization is 0.00 μB/cell.

***

[3]
A plane-wave DFT calculation with PBE was carried out for crystalline K3InCu at its relaxed geometry.

Cell lengths 6.226, 6.226, 6.226 Å; angles 90.00, 90.00, 90.00 degrees
Atoms (fractional coordinates):
K1 0.000 0.000 0.500
K2 0.000 0.500 0.000
K3 0.500 0.000 0.000
In1 0.500 0.500 0.500
Cu1 0.000 0.000 0.000

Output
The space-group type is No. 221. The energy relative to the elements is 0.3249 eV/atom. As for the uncorrected energy: -1.701 eV/atom. Its total magnetization is 0.00 μB/cell.

***

[4]
A plane-wave DFT calculation with PBE was carried out for crystalline K2InCu at its relaxed geometry.

Cell lengths 6.796, 6.796, 6.796 Å; angles 144.87, 126.91, 65.26 degrees
Atoms (fractional coordinates):
K1 0.000 0.000 0.000
K2 0.690 0.190 0.500
In1 0.398 0.398 0.000
Cu1 0.260 0.760 0.500

Output
The space-group type is No. 44. The energy relative to the elements is 0.1222 eV/atom. As for the uncorrected energy: -2.135 eV/atom. Its total magnetization is 0.00 μB/cell.